Entry 1:
## LiCeIn2Ag4 (PBE)

Data for crystalline LiCeIn2Ag4 at its relaxed geometry.

Cell: 4.8460 4.8460 24.6622 Å, 90.00 90.00 120.00°
Space group R-3m (No. 166, hexagonal axes)
Asymmetric unit:
1 Li 0.0000 0.0000 0.0000 (multiplicity 3)
2 Ce 0.0000 0.0000 0.5000 (multiplicity 3)
3 In 0.0000 0.0000 0.2488 (multiplicity 6)
4 Ag 0.0000 0.0000 0.1073 (multiplicity 6)
5 Ag 0.0000 0.0000 0.3678 (multiplicity 6)

Summary:
formation enthalpy at 0 K: -200 meV per atom
spin magnetization: 0.124 μB per atom



Entry 2:
## CeMg2In4Ag (PBE)

Data for crystalline CeMg2In4Ag at its relaxed geometry.

Cell: 5.0135 5.0135 26.7675 Å, 90.00 90.00 120.00°
Space group R-3m (No. 166, hexagonal axes)
Asymmetric unit:
1 Ce 0.0000 0.0000 0.0000 (multiplicity 3)
2 Mg 0.0000 0.0000 0.2527 (multiplicity 6)
3 In 0.0000 0.0000 0.1302 (multiplicity 6)
4 In 0.0000 0.0000 0.3877 (multiplicity 6)
5 Ag 0.0000 0.0000 0.5000 (multiplicity 3)

Summary:
formation enthalpy at 0 K: -171 meV per atom
spin magnetization: 0.105 μB per atom



Entry 3:
## CeMg2In2Ag2 (PBE)

Data for crystalline CeMg2In2Ag2 at its relaxed geometry.

Cell: 4.7266 4.7266 25.0376 Å, 90.00 90.00 120.00°
Space group R-3m (No. 166, hexagonal axes)
Asymmetric unit:
1 Ce 0.0000 0.0000 0.0000 (multiplicity 3)
2 Mg 0.0000 0.0000 0.1377 (multiplicity 6)
3 In 0.0000 0.0000 0.2627 (multiplicity 6)
4 Ag 0.0000 0.0000 0.4373 (multiplicity 6)

Summary:
formation enthalpy at 0 K: -206 meV per atom
spin magnetization: 0.125 μB per atom



Please write out number 1 again, unchanged.
## LiCeIn2Ag4 (PBE)

Data for crystalline LiCeIn2Ag4 at its relaxed geometry.

Cell: 4.8460 4.8460 24.6622 Å, 90.00 90.00 120.00°
Space group R-3m (No. 166, hexagonal axes)
Asymmetric unit:
1 Li 0.0000 0.0000 0.0000 (multiplicity 3)
2 Ce 0.0000 0.0000 0.5000 (multiplicity 3)
3 In 0.0000 0.0000 0.2488 (multiplicity 6)
4 Ag 0.0000 0.0000 0.1073 (multiplicity 6)
5 Ag 0.0000 0.0000 0.3678 (multiplicity 6)

Summary:
formation enthalpy at 0 K: -200 meV per atom
spin magnetization: 0.124 μB per atom



Which of these has the lowest spin magnetization? CeMg2In4Ag



Look up the spin magnetization of the first one. 0.124 μB per atom